(1)
The following is a GGA-PBE calculation of a geometry-optimized K2RbSn2 structure, from Alexandria.

a = 10.2510 Å, b = 10.2510 Å, c = 3.7345 Å
α = 90.00°, β = 90.00°, γ = 90.00°
Atoms (fractional coordinates):
1 K 0.1870 0.3130 0.0000
2 K 0.3130 0.8130 0.0000
3 K 0.6870 0.1870 0.0000
4 K 0.8130 0.6870 0.0000
5 Rb 0.0000 0.0000 0.0000
6 Rb 0.5000 0.5000 0.0000
7 Sn 0.1043 0.6043 0.5000
8 Sn 0.3957 0.1043 0.5000
9 Sn 0.6043 0.8957 0.5000
10 Sn 0.8957 0.3957 0.5000

For the total magnetization, the calculation gives 0.00 μB/cell. The total energy comes out at -22.9 eV per cell.

***

(2)
The following is a GGA-PBE calculation of a geometry-optimized KRbSn2 structure, from Alexandria.

a = 10.2405 Å, b = 10.2405 Å, c = 6.1693 Å
α = 90.00°, β = 90.00°, γ = 90.00°
Atoms (fractional coordinates):
1 K 0.0000 0.0000 0.0000
2 K 0.0000 0.5000 0.2500
3 K 0.5000 0.0000 0.7500
4 K 0.5000 0.5000 0.5000
5 Rb 0.0000 0.0000 0.5000
6 Rb 0.0000 0.5000 0.7500
7 Rb 0.5000 0.0000 0.2500
8 Rb 0.5000 0.5000 0.0000
9 Sn 0.2420 0.2500 0.1250
10 Sn 0.2500 0.7420 0.3750
11 Sn 0.2500 0.7580 0.8750
12 Sn 0.2580 0.2500 0.6250
13 Sn 0.7420 0.7500 0.6250
14 Sn 0.7500 0.2420 0.8750
15 Sn 0.7500 0.2580 0.3750
16 Sn 0.7580 0.7500 0.1250

For the total magnetization, the calculation gives 0.00 μB/cell. The total energy comes out at -37.9 eV per cell.

***

(3)
The following is a GGA-PBE calculation of a geometry-optimized K2RbSn2 structure, from Alexandria.

a = 9.9726 Å, b = 9.9726 Å, c = 4.2942 Å
α = 90.00°, β = 90.00°, γ = 90.00°
Atoms (fractional coordinates):
1 K 0.1879 0.3121 0.0000
2 K 0.3121 0.8121 0.0000
3 K 0.6879 0.1879 0.0000
4 K 0.8121 0.6879 0.0000
5 Rb 0.0000 0.0000 0.5000
6 Rb 0.5000 0.5000 0.5000
7 Sn 0.1012 0.6012 0.5000
8 Sn 0.3988 0.1012 0.5000
9 Sn 0.6012 0.8988 0.5000
10 Sn 0.8988 0.3988 0.5000

For the total magnetization, the calculation gives 0.00 μB/cell. The total energy comes out at -23.3 eV per cell.

***

(4)
The following is a GGA-PBE calculation of a geometry-optimized KRbSn2 structure, from Alexandria.

a = 8.4502 Å, b = 8.4502 Å, c = 8.4502 Å
α = 90.00°, β = 90.00°, γ = 90.00°
Atoms (fractional coordinates):
1 K 0.0000 0.0000 0.0000
2 K 0.0000 0.5000 0.5000
3 K 0.5000 0.0000 0.5000
4 K 0.5000 0.5000 0.0000
5 Rb 0.0000 0.0000 0.5000
6 Rb 0.0000 0.5000 0.0000
7 Rb 0.5000 0.0000 0.0000
8 Rb 0.5000 0.5000 0.5000
9 Sn 0.2500 0.2500 0.2500
10 Sn 0.2500 0.2500 0.7500
11 Sn 0.2500 0.7500 0.2500
12 Sn 0.2500 0.7500 0.7500
13 Sn 0.7500 0.2500 0.2500
14 Sn 0.7500 0.2500 0.7500
15 Sn 0.7500 0.7500 0.2500
16 Sn 0.7500 0.7500 0.7500

For the total magnetization, the calculation gives 0.00 μB/cell. The total energy comes out at -38.2 eV per cell.

***

(5)
The following is a GGA-PBE calculation of a geometry-optimized K12Rb6Sn structure, from Alexandria.

a = 11.5693 Å, b = 11.5693 Å, c = 11.5693 Å
α = 99.83°, β = 99.83°, γ = 99.83°
Atoms (fractional coordinates):
1 K 0.0853 0.2211 0.5816
2 K 0.2091 0.5618 0.4630
3 K 0.2211 0.5816 0.0853
4 K 0.4184 0.9147 0.7789
5 K 0.4382 0.5370 0.7909
6 K 0.4630 0.2091 0.5618
7 K 0.5370 0.7909 0.4382
8 K 0.5618 0.4630 0.2091
9 K 0.5816 0.0853 0.2211
10 K 0.7789 0.4184 0.9147
11 K 0.7909 0.4382 0.5370
12 K 0.9147 0.7789 0.4184
13 Rb 0.0460 0.7494 0.8057
14 Rb 0.1943 0.9540 0.2506
15 Rb 0.2506 0.1943 0.9540
16 Rb 0.7494 0.8057 0.0460
17 Rb 0.8057 0.0460 0.7494
18 Rb 0.9540 0.2506 0.1943
19 Sn 0.5000 0.5000 0.5000

For the total magnetization, the calculation gives 0.00 μB/cell. The total energy comes out at -22.0 eV per cell.

***

(6)
The following is a GGA-PBE calculation of a geometry-optimized K2RbSn2 structure, from Alexandria.

a = 14.0015 Å, b = 4.7567 Å, c = 7.2604 Å
α = 90.00°, β = 99.09°, γ = 90.00°
Atoms (fractional coordinates):
1 K 0.1497 0.0000 0.0782
2 K 0.3503 0.5000 0.9218
3 K 0.6497 0.5000 0.0782
4 K 0.8503 0.0000 0.9218
5 Rb 0.0000 0.5000 0.5000
6 Rb 0.5000 0.0000 0.5000
7 Sn 0.2247 0.0000 0.6012
8 Sn 0.2753 0.5000 0.3988
9 Sn 0.7247 0.5000 0.6012
10 Sn 0.7753 0.0000 0.3988

For the total magnetization, the calculation gives 0.00 μB/cell. The total energy comes out at -24.0 eV per cell.

***

(7)
The following is a GGA-PBE calculation of a geometry-optimized KRbSn3 structure, from Alexandria.

a = 6.1011 Å, b = 6.1011 Å, c = 6.1011 Å
α = 90.00°, β = 90.00°, γ = 90.00°
Atoms (fractional coordinates):
1 K 0.0000 0.0000 0.0000
2 Rb 0.5000 0.5000 0.5000
3 Sn 0.0000 0.0000 0.5000
4 Sn 0.0000 0.5000 0.0000
5 Sn 0.5000 0.0000 0.0000

For the total magnetization, the calculation gives 0.00 μB/cell. The total energy comes out at -10.7 eV per cell.

***

(8)
The following is a GGA-PBE calculation of a geometry-optimized K3RbSn structure, from Alexandria.

a = 7.0026 Å, b = 7.0026 Å, c = 7.0026 Å
α = 90.00°, β = 90.00°, γ = 90.00°
Atoms (fractional coordinates):
1 K 0.0000 0.0000 0.5000
2 K 0.0000 0.5000 0.0000
3 K 0.5000 0.0000 0.0000
4 Rb 0.0000 0.0000 0.0000
5 Sn 0.5000 0.5000 0.5000

For the total magnetization, the calculation gives 1.29 μB/cell. The total energy comes out at -5.4 eV per cell.

***

(9)
The following is a GGA-PBE calculation of a geometry-optimized K2Rb2Sn structure, from Alexandria.

a = 9.2283 Å, b = 9.2283 Å, c = 6.9464 Å
α = 90.00°, β = 90.00°, γ = 90.00°
Atoms (fractional coordinates):
1 K 0.1530 0.3470 0.0000
2 K 0.3470 0.8470 0.0000
3 K 0.6530 0.1530 0.0000
4 K 0.8470 0.6530 0.0000
5 Rb 0.1970 0.6970 0.5000
6 Rb 0.3030 0.1970 0.5000
7 Rb 0.6970 0.8030 0.5000
8 Rb 0.8030 0.3030 0.5000
9 Sn 0.0000 0.0000 0.0000
10 Sn 0.5000 0.5000 0.0000

For the total magnetization, the calculation gives 0.08 μB/cell. The total energy comes out at -15.6 eV per cell.

***

(10)
The following is a GGA-PBE calculation of a geometry-optimized K3RbSn structure, from Alexandria.

a = 6.9428 Å, b = 6.9428 Å, c = 6.9428 Å
α = 90.00°, β = 90.00°, γ = 90.00°
Atoms (fractional coordinates):
1 K 0.0000 0.0000 0.5000
2 K 0.0000 0.5000 0.0000
3 K 0.5000 0.0000 0.0000
4 Rb 0.5000 0.5000 0.5000
5 Sn 0.0000 0.0000 0.0000

For the total magnetization, the calculation gives 0.00 μB/cell. The total energy comes out at -8.2 eV per cell.

***

(11)
The following is a GGA-PBE calculation of a geometry-optimized K2RbSn2 structure, from Alexandria.

a = 4.3365 Å, b = 4.3365 Å, c = 28.3215 Å
α = 90.00°, β = 90.00°, γ = 90.00°
Atoms (fractional coordinates):
1 K 0.0000 0.0000 0.1429
2 K 0.0000 0.0000 0.8571
3 K 0.5000 0.5000 0.3571
4 K 0.5000 0.5000 0.6429
5 Rb 0.0000 0.0000 0.5000
6 Rb 0.5000 0.5000 0.0000
7 Sn 0.0000 0.5000 0.2500
8 Sn 0.0000 0.5000 0.7500
9 Sn 0.5000 0.0000 0.2500
10 Sn 0.5000 0.0000 0.7500

For the total magnetization, the calculation gives 0.00 μB/cell. The total energy comes out at -22.3 eV per cell.

***

(12)
The following is a GGA-PBE calculation of a geometry-optimized K2Rb4Sn structure, from Alexandria.

a = 7.1886 Å, b = 7.1886 Å, c = 22.1423 Å
α = 90.00°, β = 90.00°, γ = 90.00°
Atoms (fractional coordinates):
1 K 0.0000 0.0000 0.1314
2 K 0.0000 0.0000 0.8686
3 K 0.5000 0.5000 0.3686
4 K 0.5000 0.5000 0.6314
5 Rb 0.0000 0.0000 0.3343
6 Rb 0.0000 0.0000 0.6657
7 Rb 0.0000 0.5000 0.0000
8 Rb 0.0000 0.5000 0.5000
9 Rb 0.5000 0.0000 0.0000
10 Rb 0.5000 0.0000 0.5000
11 Rb 0.5000 0.5000 0.1657
12 Rb 0.5000 0.5000 0.8343
13 Sn 0.0000 0.0000 0.5000
14 Sn 0.5000 0.5000 0.0000

For the total magnetization, the calculation gives 1.65 μB/cell. The total energy comes out at -18.9 eV per cell.